[1]
First-principles (PBE) data for a geometry-optimized FeAg3Ru structure, as listed in Alexandria via LeMat-Bulk.

Properties
**Polymorph energy (0 for the lowest one)**: 0.000 eV/atom
**Formation enthalpy at 0 K**: 1.50 eV per atom
**Crystal system**: cubic

a = 4.721 Å, b = 4.721 Å, c = 4.721 Å
α = 90.00°, β = 90.00°, γ = 90.00°
Fractional positions:
Fe 0.000 0.000 0.000
Ag 0.000 0.000 0.500
Ag 0.000 0.500 0.000
Ag 0.500 0.000 0.000
Ru 0.500 0.500 0.500

---

[2]
First-principles (PBE) data for a geometry-optimized Ac4SeS2N2 structure, as listed in Alexandria via LeMat-Bulk.

Properties
**VASP energy**: -60.3 eV per cell
**Crystal system**: monoclinic

a = 8.692 Å, b = 8.692 Å, c = 8.457 Å
α = 118.57°, β = 118.57°, γ = 27.44°
Fractional positions:
Ac 0.019 0.019 0.297
Ac 0.269 0.269 0.705
Ac 0.731 0.731 0.295
Ac 0.981 0.981 0.703
Se 0.500 0.500 0.000
S 0.387 0.387 0.329
S 0.613 0.613 0.671
N 0.173 0.173 0.374
N 0.827 0.827 0.626

---

[3]
First-principles (PBE) data for a geometry-optimized CaCuIr3 structure, as listed in Alexandria via LeMat-Bulk.

Properties
**Polymorph energy (0 for the lowest one)**: 0.000 eV/atom
**Formation enthalpy at 0 K**: 0.91 eV per atom
**Crystal system**: cubic

a = 4.575 Å, b = 4.575 Å, c = 4.575 Å
α = 90.00°, β = 90.00°, γ = 90.00°
Fractional positions:
Ca 0.000 0.000 0.000
Cu 0.500 0.500 0.500
Ir 0.000 0.500 0.500
Ir 0.500 0.000 0.500
Ir 0.500 0.500 0.000

---

[4]
First-principles (PBE) data for a geometry-optimized K2Tc2Ir structure, as listed in Alexandria via LeMat-Bulk.

Properties
**Formation enthalpy at 0 K**: 1.67 eV per atom
**Crystal system**: tetragonal

a = 8.162 Å, b = 8.162 Å, c = 8.162 Å
α = 152.95°, β = 152.95°, γ = 38.62°
Fractional positions:
K 0.250 0.750 0.500
K 0.750 0.250 0.500
Tc 0.068 0.068 0.000
Tc 0.932 0.932 0.000
Ir 0.500 0.500 0.000

---

[5]
First-principles (PBE) data for a geometry-optimized CsU3Tl2Se8 structure, as listed in Alexandria via LeMat-Bulk.

Properties
**VASP energy**: -81.3 eV per cell
**Crystal system**: trigonal

a = 9.924 Å, b = 9.924 Å, c = 9.924 Å
α = 50.43°, β = 50.43°, γ = 50.43°
Fractional positions:
Cs 0.000 0.000 0.000
U 0.147 0.643 0.643
U 0.643 0.147 0.643
U 0.643 0.643 0.147
Tl 0.261 0.261 0.261
Tl 0.673 0.673 0.673
Se 0.385 0.385 0.841
Se 0.385 0.841 0.385
Se 0.419 0.419 0.419
Se 0.445 0.908 0.908
Se 0.841 0.385 0.385
Se 0.868 0.868 0.868
Se 0.908 0.445 0.908
Se 0.908 0.908 0.445

---

[6]
First-principles (PBE) data for a geometry-optimized YBeSe4 structure, as listed in Alexandria via LeMat-Bulk.

Properties
**VASP energy**: -22.4 eV per cell
**Crystal system**: cubic

a = 5.725 Å, b = 5.725 Å, c = 5.725 Å
α = 60.00°, β = 60.00°, γ = 60.00°
Fractional positions:
Y 0.000 0.000 0.000
Be 0.750 0.750 0.750
Se 0.375 0.375 0.375
Se 0.375 0.375 0.874
Se 0.375 0.874 0.375
Se 0.874 0.375 0.375

---

[7]
First-principles (PBE) data for a geometry-optimized PrHo2Pt structure, as listed in Alexandria via LeMat-Bulk.

Properties
**Polymorph energy (0 for the lowest one)**: 0.064 eV/atom
**Formation enthalpy at 0 K**: -0.62 eV per atom
**Crystal system**: tetragonal

a = 3.559 Å, b = 3.559 Å, c = 8.693 Å
α = 90.00°, β = 90.00°, γ = 90.00°
Fractional positions:
Pr 0.000 0.000 0.000
Ho 0.500 0.500 0.313
Ho 0.500 0.500 0.687
Pt 0.000 0.000 0.500

---

[8]
First-principles (PBE) data for a geometry-optimized Be2VGe structure, as listed in Alexandria via LeMat-Bulk.

Properties
**Formation enthalpy at 0 K**: 0.38 eV per atom
**Crystal system**: tetragonal

a = 5.140 Å, b = 5.140 Å, c = 5.140 Å
α = 102.69°, β = 102.69°, γ = 124.09°
Fractional positions:
Be 0.106 0.625 0.981
Be 0.375 0.356 0.481
Be 0.644 0.125 0.019
Be 0.875 0.894 0.519
V 0.250 0.750 0.500
V 0.500 0.500 0.000
Ge 0.000 0.000 0.000
Ge 0.750 0.250 0.500

---

[9]
First-principles (PBE) data for a geometry-optimized SrLiN structure, as listed in Alexandria via LeMat-Bulk.

Properties
**VASP energy**: -26.2 eV per cell
**Crystal system**: tetragonal

a = 3.510 Å, b = 3.510 Å, c = 8.723 Å
α = 90.00°, β = 90.00°, γ = 90.00°
Fractional positions:
Sr 0.250 0.250 0.242
Sr 0.750 0.750 0.758
Li 0.250 0.750 0.500
Li 0.750 0.250 0.500
N 0.250 0.250 0.646
N 0.750 0.750 0.354

---

[10]
First-principles (PBE) data for a geometry-optimized Rb3Zn2F6 structure, as listed in Alexandria via LeMat-Bulk.

Properties
**VASP energy**: -42.3 eV per cell
**Crystal system**: tetragonal

a = 11.627 Å, b = 11.627 Å, c = 11.627 Å
α = 158.81°, β = 158.81°, γ = 30.15°
Fractional positions:
Rb 0.000 0.000 0.000
Rb 0.183 0.183 0.000
Rb 0.817 0.817 0.000
Zn 0.401 0.401 0.000
Zn 0.599 0.599 0.000
F 0.090 0.590 0.500
F 0.310 0.310 0.000
F 0.410 0.910 0.500
F 0.590 0.090 0.500
F 0.690 0.690 0.000
F 0.910 0.410 0.500

---

[11]
First-principles (PBE) data for a geometry-optimized ZrCd4 structure, as listed in Alexandria via LeMat-Bulk.

Properties
**Polymorph energy (0 for the lowest one)**: 0.507 eV/atom
**Formation enthalpy at 0 K**: 0.45 eV per atom
**Crystal system**: cubic

a = 5.904 Å, b = 5.904 Å, c = 5.904 Å
α = 109.47°, β = 109.47°, γ = 109.47°
Fractional positions:
Zr 0.000 0.000 0.000
Cd 0.000 0.000 0.500
Cd 0.000 0.500 0.000
Cd 0.500 0.000 0.000
Cd 0.500 0.500 0.500

---

[12]
First-principles (PBE) data for a geometry-optimized Ba2SbBr structure, as listed in Alexandria via LeMat-Bulk.

Properties
**VASP energy**: -29.3 eV per cell
**Crystal system**: tetragonal

a = 9.794 Å, b = 9.794 Å, c = 9.794 Å
α = 135.76°, β = 135.76°, γ = 64.34°
Fractional positions:
Ba 0.121 0.625 0.996
Ba 0.375 0.371 0.496
Ba 0.629 0.125 0.004
Ba 0.875 0.879 0.504
Sb 0.000 0.000 0.000
Sb 0.750 0.250 0.500
Br 0.250 0.750 0.500
Br 0.500 0.500 0.000

---

[13]
First-principles (PBE) data for a geometry-optimized AcCe3Nd2Te6 structure, as listed in Alexandria via LeMat-Bulk.

Properties
**VASP energy**: -67.2 eV per cell
**Crystal system**: monoclinic

a = 7.826 Å, b = 7.826 Å, c = 7.924 Å
α = 99.49°, β = 99.49°, γ = 120.10°
Fractional positions:
Ac 0.000 0.000 0.000
Ce 0.162 0.838 0.500
Ce 0.500 0.500 0.500
Ce 0.838 0.162 0.500
Nd 0.332 0.668 0.000
Nd 0.668 0.332 0.000
Te 0.086 0.428 0.257
Te 0.259 0.259 0.748
Te 0.428 0.086 0.257
Te 0.572 0.914 0.743
Te 0.741 0.741 0.252
Te 0.914 0.572 0.743

---

[14]
First-principles (PBE) data for a geometry-optimized TaMn2Ni2 structure, as listed in Alexandria via LeMat-Bulk.

Properties
**Polymorph energy (0 for the lowest one)**: 0.094 eV/atom
**Formation enthalpy at 0 K**: 0.12 eV per atom
**Crystal system**: tetragonal

a = 6.901 Å, b = 6.901 Å, c = 2.629 Å
α = 90.00°, β = 90.00°, γ = 90.00°
Fractional positions:
Ta 0.000 0.000 0.000
Ta 0.500 0.500 0.000
Mn 0.117 0.383 0.000
Mn 0.383 0.883 0.000
Mn 0.617 0.117 0.000
Mn 0.883 0.617 0.000
Ni 0.178 0.678 0.500
Ni 0.322 0.178 0.500
Ni 0.678 0.822 0.500
Ni 0.822 0.322 0.500

---

[15]
First-principles (PBE) data for a geometry-optimized Hf3ScAl structure, as listed in Alexandria via LeMat-Bulk.

Properties
**Polymorph energy (0 for the lowest one)**: 1.166 eV/atom
**Formation enthalpy at 0 K**: 1.27 eV per atom
**Crystal system**: cubic

a = 4.952 Å, b = 4.952 Å, c = 4.952 Å
α = 90.00°, β = 90.00°, γ = 90.00°
Fractional positions:
Hf 0.000 0.000 0.500
Hf 0.000 0.500 0.000
Hf 0.500 0.000 0.000
Sc 0.000 0.000 0.000
Al 0.500 0.500 0.500

---

[16]
First-principles (PBE) data for a geometry-optimized BaPaP2 structure, as listed in Alexandria via LeMat-Bulk.

Properties
**Polymorph energy (0 for the lowest one)**: 0.087 eV/atom
**Formation enthalpy at 0 K**: -1.07 eV per atom
**Crystal system**: trigonal

a = 7.847 Å, b = 7.847 Å, c = 7.847 Å
α = 30.70°, β = 30.70°, γ = 30.70°
Fractional positions:
Ba 0.000 0.000 0.000
Pa 0.174 0.174 0.174
P 0.572 0.572 0.572
P 0.774 0.774 0.774

---

[17]
First-principles (PBE) data for a geometry-optimized BaGa3CuPt structure, as listed in Alexandria via LeMat-Bulk.

Properties
**Formation enthalpy at 0 K**: -0.41 eV per atom
**Crystal system**: orthorhombic

a = 7.017 Å, b = 7.017 Å, c = 6.659 Å
α = 90.00°, β = 90.00°, γ = 123.68°
Fractional positions:
Ba 0.248 0.752 0.750
Ba 0.752 0.248 0.250
Ga 0.209 0.791 0.250
Ga 0.277 0.277 0.000
Ga 0.277 0.277 0.500
Ga 0.723 0.723 0.000
Ga 0.723 0.723 0.500
Ga 0.791 0.209 0.750
Cu 0.024 0.976 0.250
Cu 0.976 0.024 0.750
Pt 0.401 0.599 0.250
Pt 0.599 0.401 0.750

---

[18]
First-principles (PBE) data for a geometry-optimized Tm2PaH structure, as listed in Alexandria via LeMat-Bulk.

Properties
**Polymorph energy (0 for the lowest one)**: 0.000 eV/atom
**Crystal system**: trigonal

a = 9.336 Å, b = 9.336 Å, c = 9.336 Å
α = 20.17°, β = 20.17°, γ = 20.17°
Fractional positions:
Tm 0.117 0.117 0.117
Tm 0.883 0.883 0.883
Pa 0.000 0.000 0.000
H 0.500 0.500 0.500

---

[19]
First-principles (PBE) data for a geometry-optimized Rb2HfTl structure, as listed in Alexandria via LeMat-Bulk.

Properties
**Polymorph energy (0 for the lowest one)**: 0.000 eV/atom
**Formation enthalpy at 0 K**: 0.89 eV per atom
**Crystal system**: tetragonal

a = 10.023 Å, b = 10.023 Å, c = 10.023 Å
α = 94.41°, β = 94.41°, γ = 147.82°
Fractional positions:
Rb 0.375 0.033 0.158
Rb 0.783 0.625 0.658
Rb 0.875 0.217 0.842
Rb 0.967 0.125 0.342
Hf 0.250 0.750 0.500
Hf 0.500 0.500 0.000
Tl 0.000 0.000 0.000
Tl 0.750 0.250 0.500

---

[20]
First-principles (PBE) data for a geometry-optimized SrPa2F11 structure, as listed in Alexandria via LeMat-Bulk.

Properties
**VASP energy**: -191.6 eV per cell
**Crystal system**: orthorhombic

a = 8.978 Å, b = 8.978 Å, c = 8.978 Å
α = 122.77°, β = 107.07°, γ = 99.50°
Fractional positions:
Sr 0.250 0.250 0.000
Sr 0.750 0.750 0.000
Pa 0.181 0.647 0.828
Pa 0.319 0.147 0.466
Pa 0.681 0.853 0.534
Pa 0.819 0.353 0.172
F 0.000 0.500 0.500
F 0.051 0.960 0.281
F 0.055 0.363 0.157
F 0.178 0.460 0.908
F 0.206 0.898 0.843
F 0.215 0.370 0.585
F 0.285 0.870 0.155
F 0.294 0.137 0.692
F 0.322 0.230 0.281
F 0.445 0.602 0.308
F 0.449 0.730 0.908
F 0.500 0.000 0.500
F 0.551 0.270 0.092
F 0.555 0.398 0.692
F 0.678 0.770 0.719
F 0.706 0.863 0.308
F 0.715 0.130 0.845
F 0.785 0.630 0.415
F 0.794 0.102 0.157
F 0.822 0.540 0.092
F 0.945 0.637 0.843
F 0.949 0.040 0.719